Entry from the Alexandria database: a relaxed structure of Ba2ZnSnS5 (PBE-GGA).

The structure belongs to space group Cmc2_1 (No. 36); the cell edges are 4.066, 18.402 and 12.703 Å and the angles 90.00°, 90.00° and 90.00°. The asymmetric unit holds Ba at (0.000, 0.114, 0.000), Ba at (0.000, 0.125, 0.615), Zn at (0.000, 0.433, 0.743), Sn at (0.000, 0.214, 0.327), S at (0.000, 0.074, 0.342), S at (0.000, 0.284, 0.964), S at (0.000, 0.303, 0.686), S at (0.000, 0.349, 0.310) and S at (0.000, 0.498, 0.590).

As for the uncorrected formation energy: -11.1 eV/f.u.

Entry from the Alexandria database: a relaxed structure of Cs8Na2Li (PBE-GGA).

The structure belongs to space group Immm (No. 71); the cell edges are 7.417, 11.979 and 21.404 Å and the angles 90.00°, 90.00° and 90.00°. The asymmetric unit holds Cs at (0.000, 0.000, 0.145), Cs at (0.000, 0.222, 0.346), Cs at (0.000, 0.306, 0.000), Na at (0.000, 0.500, 0.196) and Li at (0.000, 0.500, 0.500).

As for the formation energy: 0.70 eV per formula unit.

Entry from the Alexandria database: a relaxed structure of As3RhW (PBE-GGA).

The structure belongs to space group Pm-3m (No. 221); the cell edges are 4.825, 4.825 and 4.825 Å and the angles 90.00°, 90.00° and 90.00°. The asymmetric unit holds As at (0.000, 0.000, 0.500), Rh at (0.500, 0.500, 0.500) and W at (0.000, 0.000, 0.000).

The value obtained for the energy above the lowest structure with this stoichiometry is 0 meV/atom. As for the formation energy: 4.32 eV per formula unit.

Entry from the Alexandria database: a relaxed structure of CuHW (PBE-GGA).

The structure belongs to space group Pnma (No. 62); the cell edges are 5.838, 3.979 and 5.336 Å and the angles 90.00°, 90.00° and 90.00°. The asymmetric unit holds Cu at (0.037, 0.250, 0.118), H at (0.198, 0.750, 0.450) and W at (0.120, 0.250, 0.606).

The value obtained for the energy above the lowest structure with this stoichiometry is 122 meV/atom.

Entry from the Alexandria database: a relaxed structure of ThAsH2 (PBE-GGA).

The structure belongs to space group R-3m (No. 166, hexagonal axes); the cell edges are 4.0493, 4.0493 and 12.0888 Å and the angles 90.00°, 90.00° and 120.00°. The asymmetric unit holds Th at (0.0000, 0.0000, 0.0000), As at (0.0000, 0.0000, 0.5000) and H at (0.0000, 0.0000, 0.3040).

The value obtained for the energy above the lowest structure with this stoichiometry is 58 meV/atom.

Entry from the Alexandria database: a relaxed structure of NdThRu (PBE-GGA).

The structure belongs to space group F-43m (No. 216); the cell edges are 6.968, 6.968 and 6.968 Å and the angles 90.00°, 90.00° and 90.00°. The asymmetric unit holds Nd at (0.000, 0.000, 0.000), Th at (0.000, 0.000, 0.500) and Ru at (0.250, 0.250, 0.750).

The value obtained for the energy above the lowest structure with this stoichiometry is 101 meV/atom. As for the formation energy: -0.49 eV per formula unit.

Entry from the Alexandria database: a relaxed structure of NaYCd2 (PBE-GGA).

The structure belongs to space group R-3m (No. 166, hexagonal axes); the cell edges are 3.3370, 3.3370 and 35.5145 Å and the angles 90.00°, 90.00° and 120.00°. The asymmetric unit holds Na at (0.0000, 0.0000, 0.0000), Y at (0.0000, 0.0000, 0.5000) and Cd at (0.0000, 0.0000, 0.4100).

The value obtained for the energy above the lowest structure with this stoichiometry is 354 meV/atom. As for the formation energy: 0.64 eV per formula unit.

Entry from the Alexandria database: a relaxed structure of CaPBr (PBE-GGA).

The structure belongs to space group F-43m (No. 216); the cell edges are 7.074, 7.074 and 7.074 Å and the angles 90.00°, 90.00° and 90.00°. The asymmetric unit holds Ca at (0.000, 0.000, 0.000), P at (0.250, 0.250, 0.750) and Br at (0.250, 0.250, 0.250).

The value obtained for the energy above the lowest structure with this stoichiometry is 816 meV/atom. As for the uncorrected formation energy: -1.4 eV/f.u.

Entry from the Alexandria database: a relaxed structure of TiBeTeI2 (PBE-GGA).

The structure belongs to space group P4/mmm (No. 123); the cell edges are 5.104, 5.104 and 5.220 Å and the angles 90.00°, 90.00° and 90.00°. The asymmetric unit holds Ti at (0.000, 0.000, 0.000), Be at (0.500, 0.500, 0.500), Te at (0.500, 0.500, 0.000) and I at (0.000, 0.500, 0.500).

The value obtained for the energy above the lowest structure with this stoichiometry is 160 meV/atom. As for the uncorrected formation energy: 2.6 eV/f.u.

Entry from the Alexandria database: a relaxed structure of BaIn2AsC (PBE-GGA).

The structure belongs to space group P4/mmm (No. 123); the cell edges are 5.333, 5.333 and 6.475 Å and the angles 90.00°, 90.00° and 90.00°. The asymmetric unit holds Ba at (0.000, 0.000, 0.000), In at (0.000, 0.500, 0.500), As at (0.000, 0.000, 0.500) and C at (0.500, 0.500, 0.000).

As for the formation energy: 5.45 eV per formula unit.

Entry from the Alexandria database: a relaxed structure of Y4Mg3Al (PBE-GGA).

The structure belongs to space group R-3m (No. 166, hexagonal axes); the cell edges are 5.2975, 5.2975 and 25.9686 Å and the angles 90.00°, 90.00° and 120.00°. The asymmetric unit holds Y at (0.0000, 0.0000, 0.1215), Y at (0.0000, 0.0000, 0.3718), Mg at (0.0000, 0.0000, 0.2468), Mg at (0.0000, 0.0000, 0.5000) and Al at (0.0000, 0.0000, 0.0000).

As for the formation energy: -1.62 eV per formula unit.

Entry from the Alexandria database: a relaxed structure of MnCrIrS (PBE-GGA).

The structure belongs to space group Cm (No. 8); the cell edges are 9.726, 2.782 and 4.139 Å and the angles 90.00°, 112.58° and 90.00°. The asymmetric unit holds Mn at (0.000, 0.000, 0.000), Cr at (0.299, 0.000, 0.513), Ir at (0.217, 0.500, 0.942) and S at (0.011, 0.500, 0.419).

The value obtained for the energy above the lowest structure with this stoichiometry is 155 meV/atom. As for the uncorrected formation energy: -0.1 eV/f.u.

no.,mass density (g cm⁻³),E_tot (eV per cell)
1,4.33,-163.294
2,1.95,-21.367
3,7.56,-29.929
4,13.31,-77.187
5,8.97,-63.067
6,9.37,-87.810
7,4.90,-26.907
8,2.83,-41.948
9,5.35,-15.298
10,4.09,-15.822
11,3.60,-108.021
12,10.64,-63.673